## BeMoSe2N (meta-GGA SCAN)

Data for BeMoSe2N at its PBEsol-relaxed geometry.

Cell: 3.7188 4.9703 4.9703 Å, 90.00 90.00 90.00°
Atoms (fractional coordinates):
Be (0.5000, 0.5000, 0.5000)
Mo (0.0000, 0.0000, 0.0000)
Se (0.0000, 0.0000, 0.5000)
Se (0.0000, 0.5000, 0.0000)
N (0.5000, 0.0000, 0.0000)

Properties
formation energy (no corrections) = 0.52 eV per atom
E = -17.217 eV per atom
SG = P4/mmm
crystal system = tetragonal



## Be2NbSbMo (meta-GGA SCAN)

Data for Be2NbSbMo at its PBEsol-relaxed geometry.

Cell: 4.2851 4.2851 5.1779 Å, 90.00 90.00 90.00°
Each line ends with the local moment (μB).
Atoms (fractional coordinates):
Sb (0.0000, 0.0000, 0.0000)  0.05
Mo (0.5000, 0.5000, 0.5000)  2.52
Nb (0.0000, 0.0000, 0.5000)  -0.76
Be (0.0000, 0.5000, 0.0000)  -0.01
Be (0.5000, 0.0000, 0.0000)  -0.01

Properties
formation energy (no corrections) = 1.64 eV per atom
E = -21.159 eV per atom
SG = P4/mmm
crystal system = tetragonal



## BeNi2Mo (meta-GGA SCAN)

Data for BeNi2Mo at its PBEsol-relaxed geometry.

Cell: 2.5795 2.5795 8.0576 Å, 80.79 80.79 60.00°
Atoms (fractional coordinates):
Ni (0.0044, 0.0044, 0.9867)
Ni (0.7546, 0.7546, 0.7362)
Mo (0.2491, 0.2491, 0.2528)
Be (0.4919, 0.4919, 0.5243)

Properties
E = -17.750 eV per atom
SG = R3m
crystal system = trigonal



## BeNi2Mo (meta-GGA SCAN)

Data for BeNi2Mo at its PBEsol-relaxed geometry.

Cell: 2.6804 4.0685 4.6522 Å, 115.93 106.74 90.00°
Atoms (fractional coordinates):
Ni (0.7238, 0.7238, 0.4477)
Ni (0.2762, 0.2762, 0.5523)
Mo (0.5000, 0.0000, 0.0000)
Be (0.0000, 0.5000, 0.0000)

Properties
E = -17.935 eV per atom
SG = Immm
crystal system = orthorhombic



## BeNi2Mo (meta-GGA SCAN)

Data for BeNi2Mo at its PBEsol-relaxed geometry.

Cell: 2.4989 3.7264 4.8973 Å, 90.00 104.64 90.00°
Atoms (fractional coordinates):
Ni (0.0926, 0.0000, 0.7684)
Ni (0.9074, 0.0000, 0.2316)
Mo (0.5000, 0.5000, 0.5000)
Be (0.5000, 0.5000, 0.0000)

Properties
E = -17.945 eV per atom
SG = P2/m
crystal system = monoclinic



## BeNiMo (meta-GGA SCAN)

Data for BeNiMo at its PBEsol-relaxed geometry.

Cell: 2.5553 3.8964 3.8964 Å, 120.00 90.00 90.00°
Atoms (fractional coordinates):
Ni (0.5000, 0.3333, 0.6667)
Mo (0.0000, 0.6667, 0.3333)
Be (0.5000, 0.0000, 0.0000)

Properties
E = -18.559 eV per atom
SG = P-6m2
crystal system = hexagonal



## BeNi2Mo (meta-GGA SCAN)

Data for BeNi2Mo at its PBEsol-relaxed geometry.

Cell: 2.5452 4.3032 4.3683 Å, 100.28 90.00 107.20°
Atoms (fractional coordinates):
Ni (0.0050, 0.0100, 0.9999)
Ni (0.7554, 0.5108, 0.2822)
Mo (0.2503, 0.5006, 0.7736)
Be (0.4893, 0.9786, 0.4443)

Properties
E = -17.916 eV per atom
SG = Cm
crystal system = monoclinic



## BeNi2Mo (meta-GGA SCAN)

Data for BeNi2Mo at its PBEsol-relaxed geometry.

Cell: 2.5641 2.5641 6.4701 Å, 90.00 90.00 90.00°
Atoms (fractional coordinates):
Ni (0.0000, 0.0000, 0.7971)
Ni (0.0000, 0.0000, 0.2029)
Mo (0.5000, 0.5000, 0.5000)
Be (0.5000, 0.5000, 0.0000)

Properties
E = -18.172 eV per atom
SG = P4/mmm
crystal system = tetragonal



> Look up the E of the first one.

-17.217 eV per atom



> Number 6 is which compound?

BeNiMo



> The lowest E belongs to which entry?

Be2NbSbMo



> Number 6 is which compound?

BeNiMo